(1)
Compound: KTlCuO2
Source: Alexandria
Functional: PBE
Structure: optimized geometry

Values from the calculation:
ΔE_f (raw)   -708 meV per atom
Volume   20.86 Å³/atom

abc: 4.418 7.358 7.397
angles: 119.83 90.00 90.00
Each line ends with the local moment (μB).
Positions (direct):
K1 0.245 0.750 0.500  0.00
K2 0.755 0.250 0.500  0.00
Tl1 0.500 0.750 0.000  0.09
Tl2 0.500 0.250 0.000  0.09
Cu1 0.000 0.000 0.000  0.09
Cu2 0.000 0.500 0.000  0.09
O1 0.743 0.890 0.779  0.18
O2 0.743 0.610 0.221  0.18
O3 0.257 0.390 0.779  0.18
O4 0.257 0.110 0.221  0.18

---

(2)
Compound: Sc4Al2ZnAg
Source: Alexandria
Functional: PBE
Structure: optimized geometry

Values from the calculation:
Energy of formation from the pure elements   -0.387 eV/atom
Volume   19.66 Å³/atom

abc: 4.808 4.808 8.332
angles: 73.23 73.23 60.00
Positions (direct):
Sc1 0.373 0.373 0.880
Sc2 0.877 0.877 0.370
Sc3 0.123 0.123 0.630
Sc4 0.627 0.627 0.120
Al1 0.751 0.751 0.748
Al2 0.249 0.249 0.252
Zn1 0.000 0.000 0.000
Ag1 0.500 0.500 0.500